No. 1
DFT (PBE-GGA) results for a geometry-optimized Ag3Mo structure.

The energy above the most stable polymorph in this dataset comes out at 396 meV/atom. The total moment is 3.98 Bohr magnetons per cell. The uncorrected energy comes out at -4.15 eV/atom. The value obtained for the energy relative to the elements is 0.6947 eV per atom.

It has space group Fm-3m (No. 225), with a = 6.528 Å, b = 6.528 Å, c = 6.528 Å, α = 90.00°, β = 90.00° and γ = 90.00°. Symmetry generates all atoms from Ag at (0.000, 0.000, 0.000), Ag at (0.250, 0.250, 0.250) and Mo at (0.000, 0.000, 0.500).



No. 2
DFT (PBE-GGA) results for a geometry-optimized Ce4DyHg3 structure.

The total moment is 5.32 Bohr magnetons per cell. The uncorrected energy comes out at -3.72 eV/atom. The value obtained for the energy relative to the elements is -0.0641 eV per atom.

It has space group C2/m (No. 12), with a = 25.773 Å, b = 5.077 Å, c = 3.329 Å, α = 90.00°, β = 90.07° and γ = 90.00°. Symmetry generates all atoms from Ce at (0.109, 0.000, 0.499), Ce at (0.167, 0.500, 0.499), Dy at (0.000, 0.500, 0.500), Hg at (0.000, 0.000, 0.000) and Hg at (0.219, 0.000, 0.000).



No. 3
DFT (PBE-GGA) results for a geometry-optimized TbSm3Co structure.

The energy above the most stable polymorph in this dataset comes out at 9 meV/atom. The total moment is 0.00 Bohr magnetons per cell. The uncorrected energy comes out at -5.20 eV/atom. The value obtained for the energy relative to the elements is -0.0247 eV per atom.

It has space group Imma (No. 74), with a = 8.573 Å, b = 9.273 Å, c = 7.437 Å, α = 90.00°, β = 90.00° and γ = 90.00°. Symmetry generates all atoms from Tb at (0.000, 0.250, 0.029), Sm at (0.000, 0.250, 0.477), Sm at (0.250, 0.036, 0.750) and Co at (0.250, 0.250, 0.250).



No. 4
DFT (PBE-GGA) results for a geometry-optimized SmZr2Al structure.

The energy above the most stable polymorph in this dataset comes out at 0 meV/atom. The total moment is 0.00 Bohr magnetons per cell. The uncorrected energy comes out at -6.54 eV/atom. The value obtained for the energy relative to the elements is -0.1481 eV per atom.

It has space group P4/mmm (No. 123), with a = 4.542 Å, b = 4.542 Å, c = 4.476 Å, α = 90.00°, β = 90.00° and γ = 90.00°. Symmetry generates all atoms from Sm at (0.000, 0.000, 0.000), Zr at (0.000, 0.500, 0.500) and Al at (0.500, 0.500, 0.000).



No. 5
DFT (PBE-GGA) results for a geometry-optimized Tb2Ho8Er structure.

The energy above the most stable polymorph in this dataset comes out at 171 meV/atom. The total moment is 0.00 Bohr magnetons per cell. The uncorrected energy comes out at -4.40 eV/atom. The value obtained for the energy relative to the elements is 0.1902 eV per atom.

It has space group C2/m (No. 12), with a = 17.078 Å, b = 6.661 Å, c = 6.423 Å, α = 90.00°, β = 109.61° and γ = 90.00°. Symmetry generates all atoms from Tb at (0.218, 0.000, 0.108), Ho at (0.060, 0.000, 0.246), Ho at (0.102, 0.261, 0.690), Ho at (0.209, 0.500, 0.327) and Er at (0.000, 0.500, 0.000).



No. 6
DFT (PBE-GGA) results for a geometry-optimized CsMnAuI6 structure.

As for the formation energy from raw total energies: -0.48 eV per atom. The total moment is 5.02 Bohr magnetons per cell. The uncorrected energy comes out at -2.99 eV/atom.

It has space group P1 (No. 1), with a = 7.259 Å, b = 7.320 Å, c = 8.731 Å, α = 94.09°, β = 95.46° and γ = 109.59°. Symmetry generates all atoms from Cs at (0.000, 0.000, 0.000), Mn at (0.646, 0.347, 0.498), Au at (0.287, 0.706, 0.502), I at (0.333, 0.419, 0.313), I at (0.334, 0.050, 0.664), I at (0.580, 0.654, 0.689), I at (0.594, 0.072, 0.256), I at (0.932, 0.395, 0.738) and I at (0.940, 0.668, 0.337).



No. 7
DFT (PBE-GGA) results for a geometry-optimized LaPuTlBi structure.

The total moment is 25.98 Bohr magnetons per cell. The uncorrected energy comes out at -6.71 eV/atom. The value obtained for the energy relative to the elements is -0.3301 eV per atom.

It has space group F-43m (No. 216), with a = 7.885 Å, b = 7.885 Å, c = 7.885 Å, α = 90.00°, β = 90.00° and γ = 90.00°. Symmetry generates all atoms from La at (0.000, 0.000, 0.000), Pu at (0.000, 0.000, 0.500), Tl at (0.250, 0.250, 0.250) and Bi at (0.250, 0.250, 0.750).



No. 8
DFT (PBE-GGA) results for a geometry-optimized NiAsC structure.

The energy above the most stable polymorph in this dataset comes out at 196 meV/atom. The total moment is 0.00 Bohr magnetons per cell. The uncorrected energy comes out at -5.77 eV/atom. The value obtained for the energy relative to the elements is 0.7777 eV per atom.

It has space group Cm (No. 8), with a = 5.721 Å, b = 3.393 Å, c = 4.301 Å, α = 90.00°, β = 114.73° and γ = 90.00°. Symmetry generates all atoms from Ni at (0.000, 0.000, 0.000), As at (0.448, 0.000, 0.348) and C at (0.112, 0.500, 0.839).



No. 9
DFT (PBE-GGA) results for a geometry-optimized FeSnBi2 structure.

The total moment is 11.73 Bohr magnetons per cell. The uncorrected energy comes out at -4.60 eV/atom. The value obtained for the energy relative to the elements is 0.4521 eV per atom.

It has space group I-42d (No. 122), with a = 6.398 Å, b = 6.398 Å, c = 13.430 Å, α = 90.00°, β = 90.00° and γ = 90.00°. Symmetry generates all atoms from Fe at (0.000, 0.000, 0.000), Sn at (0.000, 0.000, 0.500) and Bi at (0.197, 0.250, 0.125).



No. 10
DFT (PBE-GGA) results for a geometry-optimized SmDyNb structure.

The total moment is 0.00 Bohr magnetons per cell. The uncorrected energy comes out at -6.21 eV/atom. The value obtained for the energy relative to the elements is 0.2527 eV per atom.

It has space group C2/m (No. 12), with a = 12.776 Å, b = 4.975 Å, c = 5.230 Å, α = 90.00°, β = 90.57° and γ = 90.00°. Symmetry generates all atoms from Sm at (0.105, 0.000, 0.223), Dy at (0.107, 0.500, 0.774) and Nb at (0.250, 0.000, 0.667).



No. 11
DFT (PBE-GGA) results for a geometry-optimized PIrIN2 structure.

As for the formation energy from raw total energies: 1.46 eV per atom. The energy above the most stable polymorph in this dataset comes out at 347 meV/atom. The total moment is 0.58 Bohr magnetons per cell. The uncorrected energy comes out at -5.04 eV/atom.

It has space group P4/mmm (No. 123), with a = 3.540 Å, b = 3.540 Å, c = 8.368 Å, α = 90.00°, β = 90.00° and γ = 90.00°. Symmetry generates all atoms from P at (0.000, 0.000, 0.000), Ir at (0.500, 0.500, 0.500), I at (0.000, 0.000, 0.500) and N at (0.000, 0.500, 0.000).



No. 12
DFT (PBE-GGA) results for a geometry-optimized Pm3Pr2ScS6 structure.

As for the formation energy from raw total energies: -1.97 eV per atom. The total moment is 0.00 Bohr magnetons per cell. The uncorrected energy comes out at -6.55 eV/atom.

It has space group C2/m (No. 12), with a = 17.413 Å, b = 3.995 Å, c = 8.065 Å, α = 90.00°, β = 103.06° and γ = 90.00°. Symmetry generates all atoms from Pm at (0.000, 0.000, 0.000), Pm at (0.170, 0.500, 0.335), Pr at (0.166, 0.500, 0.834), Sc at (0.000, 0.000, 0.500), S at (0.003, 0.500, 0.270), S at (0.158, 0.000, 0.575) and S at (0.165, 0.000, 0.087).